No. 1
A plane-wave DFT calculation with GGA-PBE was carried out for a geometry-optimized SmHoTm4S8 structure.

- electronic total energy (eV per atom) = -6.22

a = 7.9870 Å, b = 7.9870 Å, c = 19.6180 Å
α = 90.00°, β = 90.00°, γ = 120.00°
Space group R3m (No. 160, hexagonal axes)
Inequivalent atoms, fractional coordinates:
Sm  0.0000  0.0000  0.0000 [3 per cell]
Ho  0.0000  0.0000  0.3750 [3 per cell]
Tm  0.0000  0.0000  0.7492 [3 per cell]
Tm  0.1674  0.3348  0.2076 [9 per cell]
S  0.0000  0.0000  0.1359 [3 per cell]
S  0.0000  0.0000  0.6171 [3 per cell]
S  0.0171  0.5086  0.1277 [9 per cell]
S  0.1803  0.3607  0.9533 [9 per cell]

No. 2
A plane-wave DFT calculation with GGA-PBE was carried out for a geometry-optimized SmHoTm2S4 structure.

- electronic total energy (eV per atom) = -6.31

a = 6.738 Å, b = 3.849 Å, c = 6.812 Å
α = 90.00°, β = 108.88°, γ = 90.00°
Space group P2/m (No. 10)
Inequivalent atoms, fractional coordinates:
Sm  0.000  0.000  0.000 [1 per cell]
Ho  0.500  0.500  0.000 [1 per cell]
Tm  0.000  0.500  0.500 [1 per cell]
Tm  0.500  0.000  0.500 [1 per cell]
S  0.252  0.000  0.742 [2 per cell]
S  0.259  0.500  0.262 [2 per cell]

No. 3
A plane-wave DFT calculation with GGA-PBE was carried out for a geometry-optimized Sm4HoTm3S8 structure.

- electronic total energy (eV per atom) = -6.35

a = 7.8046 Å, b = 7.8046 Å, c = 19.5742 Å
α = 90.00°, β = 90.00°, γ = 120.00°
Space group R-3m (No. 166, hexagonal axes)
Inequivalent atoms, fractional coordinates:
Sm  0.0000  0.0000  0.0000 [3 per cell]
Sm  0.0000  0.5000  0.0000 [9 per cell]
Ho  0.0000  0.0000  0.5000 [3 per cell]
Tm  0.0000  0.5000  0.5000 [9 per cell]
S  0.0000  0.0000  0.2443 [6 per cell]
S  0.0020  0.5010  0.7553 [18 per cell]

No. 4
A plane-wave DFT calculation with GGA-PBE was carried out for a geometry-optimized SmHo2TmS6 structure.

- electronic total energy (eV per atom) = -6.36

a = 6.9119 Å, b = 6.9119 Å, c = 18.4933 Å
α = 90.00°, β = 90.00°, γ = 120.00°
Space group R3 (No. 146, hexagonal axes)
Inequivalent atoms, fractional coordinates:
Sm  0.0000  0.0000  0.0000 [3 per cell]
Ho  0.0000  0.0000  0.2949 [3 per cell]
Ho  0.0000  0.0000  0.7977 [3 per cell]
Tm  0.0000  0.0000  0.4955 [3 per cell]
S  0.0123  0.7105  0.3962 [9 per cell]
S  0.0290  0.3609  0.5618 [9 per cell]

No. 5
A plane-wave DFT calculation with GGA-PBE was carried out for a geometry-optimized Sm3HoTm2S6 structure.

- electronic total energy (eV per atom) = -6.36

a = 6.759 Å, b = 11.748 Å, c = 6.881 Å
α = 90.00°, β = 109.17°, γ = 90.00°
Space group C2/m (No. 12)
Inequivalent atoms, fractional coordinates:
Sm  0.000  0.000  0.000 [2 per cell]
Sm  0.000  0.335  0.000 [4 per cell]
Ho  0.000  0.500  0.500 [2 per cell]
Tm  0.000  0.167  0.500 [4 per cell]
S  0.242  0.000  0.734 [4 per cell]
S  0.246  0.332  0.735 [8 per cell]

No. 6
A plane-wave DFT calculation with GGA-PBE was carried out for a geometry-optimized Sm2HoTmS5 structure.

- electronic total energy (eV per atom) = -5.78

a = 4.821 Å, b = 4.821 Å, c = 10.168 Å
α = 90.00°, β = 90.00°, γ = 90.00°
Space group P4/mmm (No. 123)
Inequivalent atoms, fractional coordinates:
Sm  0.000  0.000  0.202 [2 per cell]
Ho  0.500  0.500  0.500 [1 per cell]
Tm  0.500  0.500  0.000 [1 per cell]
S  0.000  0.000  0.500 [1 per cell]
S  0.000  0.500  0.000 [2 per cell]
S  0.500  0.500  0.254 [2 per cell]

No. 7
A plane-wave DFT calculation with GGA-PBE was carried out for a geometry-optimized SmHo2US8 structure.

- electronic total energy (eV per atom) = -6.34

a = 5.884 Å, b = 8.147 Å, c = 6.437 Å
α = 90.00°, β = 90.16°, γ = 90.00°
Space group P2/m (No. 10)
Inequivalent atoms, fractional coordinates:
Sm  0.000  0.000  0.000 [1 per cell]
Ho  0.500  0.254  0.500 [2 per cell]
U  0.000  0.500  0.000 [1 per cell]
S  0.214  0.000  0.397 [2 per cell]
S  0.247  0.500  0.332 [2 per cell]
S  0.248  0.269  0.859 [4 per cell]

No. 8
A plane-wave DFT calculation with GGA-PBE was carried out for a geometry-optimized Sm2YHoS4 structure.

- electronic total energy (eV per atom) = -6.63

a = 6.830 Å, b = 3.913 Å, c = 6.926 Å
α = 90.00°, β = 108.94°, γ = 90.00°
Space group P2/m (No. 10)
Inequivalent atoms, fractional coordinates:
Sm  0.000  0.000  0.000 [1 per cell]
Sm  0.500  0.500  0.000 [1 per cell]
Y  0.000  0.500  0.500 [1 per cell]
Ho  0.500  0.000  0.500 [1 per cell]
S  0.248  0.000  0.740 [2 per cell]
S  0.255  0.500  0.261 [2 per cell]

No. 9
A plane-wave DFT calculation with GGA-PBE was carried out for a geometry-optimized SmY4HoS8 structure.

- electronic total energy (eV per atom) = -6.81

a = 8.0736 Å, b = 8.0736 Å, c = 19.8556 Å
α = 90.00°, β = 90.00°, γ = 120.00°
Space group R3m (No. 160, hexagonal axes)
Inequivalent atoms, fractional coordinates:
Sm  0.0000  0.0000  0.0000 [3 per cell]
Y  0.0000  0.0000  0.6253 [3 per cell]
Y  0.9999  0.4999  0.4999 [9 per cell]
Ho  0.0000  0.0000  0.3744 [3 per cell]
S  0.0000  0.0000  0.2426 [3 per cell]
S  0.0000  0.0000  0.7580 [3 per cell]
S  0.0141  0.5070  0.7540 [9 per cell]
S  0.1748  0.3497  0.5789 [9 per cell]

No. 10
A plane-wave DFT calculation with GGA-PBE was carried out for a geometry-optimized SmY2HoS4 structure.

- electronic total energy (eV per atom) = -6.84

a = 6.822 Å, b = 3.898 Å, c = 6.847 Å
α = 90.00°, β = 109.05°, γ = 90.00°
Space group P2/m (No. 10)
Inequivalent atoms, fractional coordinates:
Sm  0.000  0.000  0.000 [1 per cell]
Y  0.500  0.000  0.500 [1 per cell]
Y  0.500  0.500  0.000 [1 per cell]
Ho  0.000  0.500  0.500 [1 per cell]
S  0.251  0.000  0.745 [2 per cell]
S  0.255  0.500  0.257 [2 per cell]

No. 11
A plane-wave DFT calculation with GGA-PBE was carried out for a geometry-optimized Sm3YHo2S6 structure.

- electronic total energy (eV per atom) = -6.55

a = 6.812 Å, b = 11.842 Å, c = 6.879 Å
α = 90.00°, β = 109.32°, γ = 90.00°
Space group C2/m (No. 12)
Inequivalent atoms, fractional coordinates:
Sm  0.000  0.000  0.000 [2 per cell]
Sm  0.000  0.334  0.000 [4 per cell]
Y  0.000  0.500  0.500 [2 per cell]
Ho  0.000  0.167  0.500 [4 per cell]
S  0.244  0.000  0.739 [4 per cell]
S  0.247  0.332  0.739 [8 per cell]

Look up the electronic total energy of the eleventh one.
-6.55 eV per atom